Entry from Alexandria via LeMat-Bulk: an optimized crystal structure of ZrGaBi2 (PBE-GGA).

Computed properties:
space-group type	R-3m, No. 166
DFT total energy	-18.14	eV per cell
ΔH_f (0 K)	1.20	eV/f.u.

```
ZrGaBi2
1.0
3.304 0.000 0.000
1.652 2.861 0.000
1.652 0.954 11.895
Ga Bi Zr
1 2 1
Direct
0.500 0.500 0.500
0.086 0.086 0.741
0.914 0.914 0.259
0.000 0.000 0.000
```